# 1
This record from Alexandria via LeMat-Bulk describes a geometry-optimized NiMoAs2 structure. The functional is PBE.

## Properties
Symmetry ... I-42d
ΔH_f (0 K) ... 260 meV per atom

```
NiMoAs2
1.0
-2.777 2.777 5.340
2.777 -2.777 5.340
2.777 2.777 -5.340
Ni Mo As
2 2 4
Direct
0.000 0.000 0.000 Ni
0.750 0.250 0.500 Ni
0.250 0.750 0.500 Mo
0.500 0.500 0.000 Mo
0.106 0.625 0.981 As
0.375 0.356 0.481 As
0.644 0.125 0.019 As
0.875 0.894 0.519 As
```

# 2
This record from Alexandria via LeMat-Bulk describes a geometry-optimized CuReTc2 structure. The functional is PBE.

## Properties
Symmetry ... F-43m
ΔH_f (0 K) ... 352 meV per atom

```
CuReTc2
1.0
0.000 3.053 3.053
3.053 0.000 3.053
3.053 3.053 0.000
Cu Re Tc
1 1 2
Direct
0.000 0.000 0.000 Cu
0.250 0.250 0.250 Re
0.500 0.500 0.500 Tc
0.750 0.750 0.750 Tc
```

# 3
This record from Alexandria via LeMat-Bulk describes a geometry-optimized Pr2HPt structure. The functional is PBE.

## Properties
Symmetry ... R-3m

```
Pr2HPt
1.0
2.182 1.260 7.496
-2.182 1.260 7.496
0.000 -2.520 7.496
Pr H Pt
2 1 1
Direct
0.100 0.100 0.100 Pr
0.900 0.900 0.900 Pr
0.000 0.000 0.000 H
0.500 0.500 0.500 Pt
```

# 4
This record from Alexandria via LeMat-Bulk describes a geometry-optimized Ti3AlH structure. The functional is PBE.

## Properties
Symmetry ... Fd-3m

```
Ti3AlH
1.0
0.000 5.410 5.410
5.410 0.000 5.410
5.410 5.410 0.000
Ti Al H
12 4 4
Direct
0.067 0.067 0.683 Ti
0.067 0.683 0.067 Ti
0.067 0.683 0.683 Ti
0.317 0.317 0.933 Ti
0.317 0.933 0.317 Ti
0.317 0.933 0.933 Ti
0.683 0.067 0.067 Ti
0.683 0.067 0.683 Ti
0.683 0.683 0.067 Ti
0.933 0.317 0.317 Ti
0.933 0.317 0.933 Ti
0.933 0.933 0.317 Ti
0.000 0.500 0.500 Al
0.500 0.000 0.500 Al
0.500 0.500 0.000 Al
0.500 0.500 0.500 Al
0.000 0.000 0.000 H
0.000 0.000 0.500 H
0.000 0.500 0.000 H
0.500 0.000 0.000 H
```

# 5
This record from Alexandria via LeMat-Bulk describes a geometry-optimized Pm4Tm5Sc3 structure. The functional is PBE.

## Properties
Symmetry ... C2/m
ΔH_f (0 K) ... 213 meV per atom

```
Pm4Tm5Sc3
1.0
7.923 -2.866 0.000
7.923 2.866 0.000
-4.252 0.000 8.134
Pm Tm Sc
4 5 3
Direct
0.087 0.087 0.450 Pm
0.217 0.217 0.884 Pm
0.783 0.783 0.116 Pm
0.913 0.913 0.550 Pm
0.000 0.000 0.000 Tm
0.329 0.329 0.628 Tm
0.431 0.431 0.288 Tm
0.569 0.569 0.712 Tm
0.671 0.671 0.372 Tm
0.220 0.220 0.244 Sc
0.500 0.500 0.000 Sc
0.780 0.780 0.756 Sc
```

# 6
This record from Alexandria via LeMat-Bulk describes a geometry-optimized ZnOs2Rh structure. The functional is PBE.

## Properties
Symmetry ... P2/m
ΔH_f (0 K) ... 344 meV per atom

```
ZnOs2Rh
1.0
2.737 0.000 0.000
0.000 4.647 0.000
-0.181 0.000 4.581
Zn Os Rh
1 2 1
Direct
0.000 0.000 0.000 Zn
0.263 0.500 0.759 Os
0.737 0.500 0.241 Os
0.500 0.000 0.500 Rh
```

# 7
This record from Alexandria via LeMat-Bulk describes a geometry-optimized CeNd2SmY structure. The functional is PBE.

## Properties
Symmetry ... Pmma
ΔH_f (0 K) ... 274 meV per atom

```
CeNd2SmY
1.0
6.041 0.000 0.000
0.000 7.677 0.000
0.000 0.000 7.330
Ce Nd Sm Y
2 4 2 2
Direct
0.000 0.000 0.000 Ce
0.500 0.000 0.000 Ce
0.250 0.290 0.314 Nd
0.250 0.710 0.314 Nd
0.750 0.290 0.686 Nd
0.750 0.710 0.686 Nd
0.250 0.500 0.845 Sm
0.750 0.500 0.155 Sm
0.250 0.000 0.612 Y
0.750 0.000 0.388 Y
```

# 8
This record from Alexandria via LeMat-Bulk describes a geometry-optimized FeTc4Br structure. The functional is PBE.

## Properties
Energy relative to the elements, uncorrected ... 5.893 eV per formula unit
Symmetry ... F-43m

```
FeTc4Br
1.0
0.000 3.662 3.662
3.662 0.000 3.662
3.662 3.662 0.000
Fe Tc Br
1 4 1
Direct
0.000 0.000 0.000 Fe
0.375 0.375 0.375 Tc
0.375 0.375 0.874 Tc
0.375 0.874 0.375 Tc
0.874 0.375 0.375 Tc
0.750 0.750 0.750 Br
```

Taking the records one at a time from the top gives energy values of -24.87; -35.87; -21.16; -29.89; -57.80; -29.71; -25.28; -45.71 eV/f.u..
Taking the records one at a time from the top gives calculated volume values of 20.6; 14.2; 30.9; 15.8; 30.8; 14.6; 34.0; 16.4 Å³ per atom.